# 1
Density functional theory data (PBE) for a relaxed Os6Rh7 crystal.

Computed properties:
The formation energy from the elements is 560 meV/atom. The calculation puts the total energy at -111.6 eV/cell.

abc: 9.261 9.261 9.261
angles: 31.36 31.36 31.36
Positions (direct):
Rh1 0.412 0.412 0.916
Rh2 0.500 0.500 0.500
Rh3 0.588 0.588 0.084
Rh4 0.916 0.412 0.412
Os1 0.954 0.954 0.954
Os2 0.153 0.153 0.153
Os3 0.847 0.847 0.847
Rh5 0.412 0.916 0.412
Os4 0.334 0.334 0.334
Rh6 0.588 0.084 0.588
Os5 0.046 0.046 0.046
Os6 0.666 0.666 0.666
Rh7 0.084 0.588 0.588

---

# 2
Density functional theory data (PBE) for a relaxed OsRh5 crystal.

Computed properties:
The relative energy among the computed polymorphs is 0.012 eV/atom. The formation energy from the elements is 32 meV/atom. The calculation puts the total energy at -47.8 eV/cell.

abc: 5.191 5.191 10.471
angles: 140.72 140.72 30.41
Positions (direct):
Rh1 0.117 0.117 0.724
Os1 0.000 0.000 0.002
Rh2 0.664 0.664 0.328
Rh3 0.773 0.773 0.054
Rh4 0.443 0.443 0.388
Rh5 0.337 0.337 0.672

---

# 3
Density functional theory data (PBE) for a relaxed OsRh4 crystal.

Computed properties:
The relative energy among the computed polymorphs is 0.000 eV/atom. The formation energy from the elements is 32 meV/atom. The calculation puts the total energy at -40.5 eV/cell.

abc: 6.078 6.078 4.706
angles: 49.78 49.78 90.00
Positions (direct):
Os1 0.000 0.000 0.000
Rh1 0.797 0.604 0.000
Rh2 0.396 0.797 0.000
Rh3 0.203 0.396 0.000
Rh4 0.604 0.203 0.000

---

# 4
Density functional theory data (PBE) for a relaxed Os3Rh5 crystal.

Computed properties:
The relative energy among the computed polymorphs is 0.476 eV/atom. The formation energy from the elements is 502 meV/atom. The calculation puts the total energy at -132.9 eV/cell.

abc: 7.538 7.539 4.878
angles: 90.00 90.00 120.00
Positions (direct):
Os1 0.588 0.588 0.750
Rh1 0.211 0.000 0.250
Os2 0.412 0.413 0.250
Os3 0.413 0.000 0.750
Rh2 0.667 0.333 0.500
Rh3 0.667 0.333 0.000
Os4 0.000 0.587 0.250
Rh4 0.333 0.667 0.000
Rh5 0.789 0.000 0.750
Rh6 0.333 0.667 0.500
Rh7 0.000 0.789 0.750
Os5 0.587 0.000 0.250
Rh8 0.789 0.789 0.250
Os6 0.000 0.412 0.750
Rh9 0.211 0.211 0.750
Rh10 0.000 0.211 0.250

---

# 5
Density functional theory data (PBE) for a relaxed OsRh crystal.

Computed properties:
The formation energy from the elements is 1537 meV/atom. The calculation puts the total energy at -93.0 eV/cell.

abc: 9.539 9.539 3.901
angles: 90.00 90.00 120.00
Positions (direct):
Rh1 0.562 0.670 0.750
Rh2 0.438 0.330 0.250
Os1 0.059 0.661 0.750
Rh3 0.892 0.562 0.250
Rh4 0.330 0.892 0.750
Os2 0.398 0.059 0.250
Rh5 0.670 0.108 0.250
Os3 0.941 0.339 0.250
Os4 0.661 0.602 0.250
Os5 0.602 0.941 0.750
Rh6 0.108 0.438 0.750
Os6 0.339 0.398 0.750

---

# 6
Density functional theory data (PBE) for a relaxed OsRh4 crystal.

Computed properties:
The relative energy among the computed polymorphs is 1.565 eV/atom. The formation energy from the elements is 1598 meV/atom. The calculation puts the total energy at -32.6 eV/cell.

abc: 4.651 4.651 4.651
angles: 90.00 90.00 90.00
Last column: magnetic moment on the atom in μB.
Positions (direct):
Rh1 0.500 0.000 0.500  0.14
Rh2 0.500 0.500 0.000  0.14
Rh3 0.000 0.500 0.500  0.14
Rh4 0.000 0.000 0.000  1.13
Os1 0.500 0.500 0.500  0.01

---

# 7
Density functional theory data (PBE) for a relaxed Os2Rh crystal.

Computed properties:
The relative energy among the computed polymorphs is 0.000 eV/atom. The formation energy from the elements is 10 meV/atom. The calculation puts the total energy at -59.6 eV/cell.

abc: 2.755 5.146 7.272
angles: 84.21 100.86 122.37
Positions (direct):
Os1 0.803 0.750 0.608
Os2 0.197 0.250 0.392
Os3 0.141 0.750 0.281
Rh1 0.473 0.750 0.944
Os4 0.859 0.250 0.719
Rh2 0.527 0.250 0.056

---

# 8
Density functional theory data (PBE) for a relaxed OsRh crystal.

Computed properties:
The formation energy from the elements is 1625 meV/atom. The calculation puts the total energy at -92.0 eV/cell.

abc: 6.792 6.792 6.792
angles: 90.00 90.00 90.00
Positions (direct):
Rh1 0.000 0.500 0.250
Os1 0.500 0.000 0.250
Rh2 0.500 0.250 0.000
Rh3 0.750 0.000 0.500
Rh4 0.500 0.750 0.000
Os2 0.000 0.750 0.500
Os3 0.500 0.000 0.750
Rh5 0.250 0.000 0.500
Os4 0.000 0.250 0.500
Rh6 0.000 0.500 0.750
Os5 0.750 0.500 0.000
Os6 0.250 0.500 0.000

---

# 9
Density functional theory data (PBE) for a relaxed OsRh crystal.

Computed properties:
The formation energy from the elements is 1133 meV/atom. The calculation puts the total energy at -32.6 eV/cell.

abc: 3.850 3.850 5.266
angles: 90.00 90.00 120.00
Last column: magnetic moment on the atom in μB.
Positions (direct):
Os1 0.333 0.667 0.250  0.68
Os2 0.667 0.333 0.750  0.68
Rh1 0.000 0.000 0.000  0.13
Rh2 0.000 0.000 0.500  0.13

---

# 10
Density functional theory data (PBE) for a relaxed Os2Rh5 crystal.

Computed properties:
The formation energy from the elements is 121 meV/atom. The calculation puts the total energy at -58.4 eV/cell.

abc: 2.728 4.687 8.705
angles: 100.83 80.99 73.08
Positions (direct):
Rh1 0.622 0.619 0.137
Os1 0.404 0.746 0.445
Rh2 0.244 0.226 0.287
Os2 0.596 0.254 0.555
Rh3 0.378 0.381 0.863
Rh4 0.000 0.000 0.000
Rh5 0.756 0.774 0.713

---

# 11
Density functional theory data (PBE) for a relaxed OsRh crystal.

Computed properties:
The formation energy from the elements is 975 meV/atom. The calculation puts the total energy at -66.5 eV/cell.

abc: 7.939 7.939 2.619
angles: 90.00 90.00 90.00
Positions (direct):
Rh1 0.675 0.325 0.000
Os1 0.368 0.368 0.000
Rh2 0.175 0.175 0.500
Os2 0.868 0.132 0.500
Rh3 0.325 0.675 0.000
Rh4 0.825 0.825 0.500
Os3 0.132 0.868 0.500
Os4 0.632 0.632 0.000

---

# 12
Density functional theory data (PBE) for a relaxed Os5Rh crystal.

Computed properties:
The relative energy among the computed polymorphs is 0.029 eV/atom. The formation energy from the elements is 32 meV/atom. The calculation puts the total energy at -63.3 eV/cell.

abc: 5.150 5.150 10.482
angles: 140.54 140.54 31.01
Positions (direct):
Rh1 0.777 0.777 0.056
Os1 0.669 0.669 0.334
Os2 0.333 0.333 0.666
Os3 0.109 0.109 0.719
Os4 0.997 0.997 0.999
Os5 0.448 0.448 0.393